Record 1
! Rb2LiHgTe (GGA-PBE, optimized geometry); values from VASP
! * formation energy from raw total energies: -0.52 eV per atom
! * raw total energy: -1.9807 eV/atom
&SYSTEM
  ibrav = 0, nat = 5, ntyp = 4
/
ATOMIC_SPECIES
Rb 85.47 Rb.upf
Li 6.94 Li.upf
Te 127.60 Te.upf
Hg 200.59 Hg.upf
ATOMIC_POSITIONS angstrom
Rb -2.200 0.958 -2.656
Li -1.220 -2.258 0.196
Te 0.000 0.000 0.000
Hg -1.163 -2.726 -4.844
Rb 2.257 -1.427 -2.384
CELL_PARAMETERS angstrom
-4.400 1.917 -5.312
4.514 -2.853 -4.768
-2.440 -4.516 0.392

=====

Record 2
! Cs12Au5O3 (GGA-PBE, optimized geometry); values from VASP
! * formation energy from raw total energies: -0.56 eV per atom
! * raw total energy: -2.6315 eV/atom
&SYSTEM
  ibrav = 0, nat = 80, ntyp = 3
/
ATOMIC_SPECIES
Cs 132.91 Cs.upf
O 16.00 O.upf
Au 196.97 Au.upf
ATOMIC_POSITIONS angstrom
Cs -2.819 1.442 1.669
O -10.586 2.091 4.742
O -4.704 0.366 3.290
O -8.557 9.279 -9.245
Au -4.086 -4.228 6.695
Cs -11.036 1.705 2.099
Cs -11.538 1.180 10.712
Cs -7.821 6.916 8.931
Cs -5.954 12.224 -3.967
Cs -6.700 11.437 4.608
Au -2.878 -3.269 -7.773
Cs -15.854 1.547 1.687
Cs -10.320 -2.024 -0.868
Cs -4.143 6.067 1.155
Cs -9.286 4.643 -13.163
Au -5.925 4.480 7.119
Cs -8.992 -6.967 1.823
Cs -6.511 6.612 4.303
Cs -4.842 -5.000 0.363
Cs -9.272 7.192 1.640
Cs -8.566 -0.312 -8.180
Cs -5.175 14.197 0.381
Cs -11.324 2.890 -2.563
Cs -8.320 -2.221 11.853
Au -12.945 4.811 1.067
Cs -11.652 -9.802 2.658
Au -9.421 5.805 -4.060
Cs -1.753 0.875 -2.996
Au -8.228 -0.628 8.417
Au -3.840 3.839 -1.895
O -11.624 -9.885 -3.455
Au -9.765 8.319 5.224
Cs -5.736 -2.053 -5.994
Cs -8.614 9.389 -3.132
Cs -5.186 -5.592 -9.219
Cs -5.682 -1.554 4.930
Au -1.840 8.708 0.424
Cs -6.283 -0.468 1.254
Cs -13.463 -3.645 -2.464
Au -7.841 -5.897 -6.533
Cs -6.068 1.242 -12.021
Cs -7.286 4.446 -0.442
Cs -12.765 7.422 -1.672
Au -13.766 -1.417 0.586
Cs -12.431 -11.775 -1.691
Cs -11.870 4.475 4.685
Au -6.977 -2.423 -11.718
Cs -7.256 6.909 -9.401
Au -6.963 -7.497 -1.079
O -9.049 -6.857 7.935
Cs -9.041 2.734 6.871
Cs -11.784 -4.542 2.995
Au -9.378 3.051 -9.726
O -10.803 -3.657 -2.974
Cs -12.421 8.014 7.909
Au -4.661 -2.389 -2.377
Au -10.629 4.845 10.408
Cs -8.335 -4.770 -2.949
Cs -10.350 -4.487 8.092
O -11.667 -7.131 2.211
Cs -9.785 -4.494 -10.241
O -5.939 9.553 -3.521
O -5.982 12.307 2.146
Au 0.000 0.000 0.000
Cs -5.822 6.964 -4.305
Cs -14.787 0.980 -2.979
Au -8.803 1.211 -0.655
O -7.020 0.331 -6.051
Cs -11.096 -4.190 -5.613
Cs -10.399 -0.550 5.313
Cs -10.906 -9.015 -5.917
Cs -10.426 8.379 -7.503
Au -4.717 5.439 -7.349
Cs -7.207 2.972 -6.622
Au -8.185 -3.383 2.750
O -6.803 6.079 1.664
Cs -6.570 0.717 -3.409
O -12.903 2.056 -4.599
Cs -11.924 3.976 -6.239
Cs -7.180 -5.957 6.194
CELL_PARAMETERS angstrom
-3.679 17.416 0.848
-5.755 -6.537 -15.547
-8.171 -8.456 13.389

=====

Record 3
! CdRhAu2Br (GGA-PBE, optimized geometry); values from VASP
! * formation energy from raw total energies: 0.95 eV per atom
! * raw total energy: -2.3467 eV/atom
&SYSTEM
  ibrav = 0, nat = 5, ntyp = 4
/
ATOMIC_SPECIES
Rh 102.91 Rh.upf
Au 196.97 Au.upf
Cd 112.41 Cd.upf
Br 79.90 Br.upf
ATOMIC_POSITIONS angstrom
Rh 0.000 2.587 0.000
Au 2.572 0.000 0.000
Cd 0.000 0.000 0.000
Au 0.000 0.000 2.572
Br 2.572 2.587 2.572
CELL_PARAMETERS angstrom
5.145 0.000 0.000
0.000 5.174 0.000
0.000 0.000 5.145

=====

Record 4
! Sr2BrCl (GGA-PBE, optimized geometry); values from VASP
! * formation energy from raw total energies: -1.44 eV per atom
! * raw total energy: -3.1617 eV/atom
&SYSTEM
  ibrav = 0, nat = 8, ntyp = 3
/
ATOMIC_SPECIES
Br 79.90 Br.upf
Sr 87.62 Sr.upf
Cl 35.45 Cl.upf
ATOMIC_POSITIONS angstrom
Br 0.000 0.000 0.000
Sr 1.517 -4.722 3.099
Sr 0.716 -4.613 7.893
Cl -1.302 -4.113 2.437
Br -2.253 -3.921 7.290
Sr -0.688 -8.493 10.300
Sr -2.376 -2.389 4.589
Cl 1.838 -6.187 5.651
CELL_PARAMETERS angstrom
-5.392 -1.847 4.075
2.788 -6.379 0.798
2.189 -1.882 8.067

=====

Record 5
! LiGaAu6 (GGA-PBE, optimized geometry); values from VASP
! * raw total energy: -3.2524 eV/atom
! * ΔE_f: -1.4 eV per formula unit
&SYSTEM
  ibrav = 0, nat = 8, ntyp = 3
/
ATOMIC_SPECIES
Au 196.97 Au.upf
Li 6.94 Li.upf
Ga 69.72 Ga.upf
ATOMIC_POSITIONS angstrom
Au 2.706 4.093 0.974
Li 0.000 0.000 0.000
Ga 6.892 4.755 2.053
Au 2.838 1.189 0.894
Au 5.277 2.716 1.441
Au 11.077 5.416 3.131
Au 8.506 6.794 2.664
Au 10.946 8.321 3.211
CELL_PARAMETERS angstrom
6.695 0.263 0.232
3.574 6.750 0.335
3.515 2.498 3.538

=====

Record 6
! Pu2SiAu (GGA-PBE, optimized geometry); values from VASP
! * formation energy from raw total energies: -0.38 eV per atom
! * raw total energy: -9.7192 eV/atom
&SYSTEM
  ibrav = 0, nat = 4, ntyp = 3
/
ATOMIC_SPECIES
Pu 244.00 Pu.upf
Au 196.97 Au.upf
Si 28.09 Si.upf
ATOMIC_POSITIONS angstrom
Pu 0.585 0.333 1.199
Au -0.748 2.491 3.029
Si -1.994 1.783 0.479
Pu 1.906 1.083 3.902
CELL_PARAMETERS angstrom
-0.555 3.725 -0.763
-3.432 -0.159 1.721
2.491 1.416 5.101

=====

Record 7
! LaCdIn2Pd4 (GGA-PBE, optimized geometry); values from VASP
! * raw total energy: -4.5892 eV/atom
! * ΔE_f: -4.6 eV per formula unit
&SYSTEM
  ibrav = 0, nat = 8, ntyp = 4
/
ATOMIC_SPECIES
Cd 112.41 Cd.upf
In 114.82 In.upf
Pd 106.42 Pd.upf
La 138.91 La.upf
ATOMIC_POSITIONS angstrom
Cd -2.014 -6.485 0.220
In -0.973 -3.291 0.136
In -3.055 -9.678 0.304
Pd -0.569 -8.547 1.321
Pd -4.531 -7.572 -0.820
Pd 0.503 -5.398 1.260
La 0.000 0.000 0.000
Pd -3.459 -4.422 -0.881
CELL_PARAMETERS angstrom
-4.100 -2.271 1.125
-1.994 -3.070 -3.136
2.065 -7.629 2.450

=====

Record 8
! Y3HgC (GGA-PBE, optimized geometry); values from VASP
! * raw total energy: -6.1031 eV/atom
! * ΔE_f: -1.6 eV per formula unit
&SYSTEM
  ibrav = 0, nat = 10, ntyp = 3
/
ATOMIC_SPECIES
Y 88.91 Y.upf
C 12.01 C.upf
Hg 200.59 Hg.upf
ATOMIC_POSITIONS angstrom
Y -3.333 -0.643 6.208
Y -0.307 3.567 9.275
C -1.131 1.430 1.969
Y -0.135 0.917 7.228
Y -0.798 0.135 3.719
C 1.359 2.864 7.596
Hg -2.027 2.942 5.544
Y -2.842 2.789 11.764
Y -3.504 2.007 8.255
Hg -1.613 -0.018 9.939
CELL_PARAMETERS angstrom
-2.066 5.318 3.789
-3.868 -1.369 5.917
2.661 0.585 6.711

=====

Record 9
! CeTi2Ni (GGA-PBE, optimized geometry); values from VASP
! * raw total energy: -6.7547 eV/atom
! * ΔE_f: 0.5 eV per formula unit
&SYSTEM
  ibrav = 0, nat = 4, ntyp = 3
/
ATOMIC_SPECIES
Ti 47.87 Ti.upf
Ce 140.12 Ce.upf
Ni 58.69 Ni.upf
ATOMIC_POSITIONS angstrom
Ti 5.942 -1.216 3.533
Ti 1.079 -1.776 5.303
Ce 0.000 0.000 0.000
Ni 3.510 -1.496 4.418
CELL_PARAMETERS angstrom
-0.780 0.618 2.684
-0.797 -2.097 1.778
8.598 -1.513 4.373

=====

Record 10
! CdPBr2 (GGA-PBE, optimized geometry); values from VASP
! * formation energy from raw total energies: -0.13 eV per atom
! * raw total energy: -2.5504 eV/atom
&SYSTEM
  ibrav = 0, nat = 4, ntyp = 3
/
ATOMIC_SPECIES
Br 79.90 Br.upf
Cd 112.41 Cd.upf
P 30.97 P.upf
ATOMIC_POSITIONS angstrom
Br 1.881 1.885 2.566
Br 0.000 0.000 8.111
Cd 0.000 0.000 5.576
P 1.881 1.885 4.774
CELL_PARAMETERS angstrom
3.762 0.000 0.000
0.000 3.770 0.000
0.000 0.000 8.411

=====

Record 11
! SrCaFe3 (GGA-PBE, optimized geometry); values from VASP
! * raw total energy: -4.3655 eV/atom
! * ΔE_f: 7.2 eV per formula unit
&SYSTEM
  ibrav = 0, nat = 5, ntyp = 3
/
ATOMIC_SPECIES
Fe 55.84 Fe.upf
Ca 40.08 Ca.upf
Sr 87.62 Sr.upf
ATOMIC_POSITIONS angstrom
Fe -0.017 2.501 -0.204
Fe -1.840 0.126 1.701
Fe 1.706 0.161 1.833
Ca 0.000 0.000 0.000
Sr -0.152 2.788 3.331
CELL_PARAMETERS angstrom
-0.035 5.002 -0.407
-3.680 0.251 3.402
3.412 0.322 3.666

=====

Record 12
! SrLiMo (GGA-PBE, optimized geometry); values from VASP
! * raw total energy: -3.1928 eV/atom
! * ΔE_f: 4.8 eV per formula unit
&SYSTEM
  ibrav = 0, nat = 3, ntyp = 3
/
ATOMIC_SPECIES
Li 6.94 Li.upf
Mo 95.94 Mo.upf
Sr 87.62 Sr.upf
ATOMIC_POSITIONS angstrom
Li 0.000 0.000 0.000
Mo 5.308 3.064 2.167
Sr 7.961 4.596 3.250
CELL_PARAMETERS angstrom
5.308 0.000 0.000
2.654 4.596 0.000
2.654 1.532 4.334

=====

- What is the raw total energy in the sixth record?
  -9.7192 eV/atom

=====

- The lowest raw total energy belongs to which entry?
  Pu2SiAu

=====

- raw total energy of number 3 (CdRhAu2Br)?
  -2.3467 eV/atom

=====

- The lowest raw total energy belongs to which entry?
  Pu2SiAu